Computed, not measured: a geometry-optimized BRhF2 structure at the PBE-GGA level of DFT.

```
data_BRhF2
_space_group_name_H-M_alt 'R -3 m'
_space_group_IT_number 166
_space_group_name_Hall '-R 3 2"'
_cell_length_a 2.6339
_cell_length_b 2.6339
_cell_length_c 22.1838
_cell_angle_alpha 90.00
_cell_angle_beta 90.00
_cell_angle_gamma 120.00
loop_
_atom_site_label
_atom_site_type_symbol
_atom_site_fract_x
_atom_site_fract_y
_atom_site_fract_z
_atom_site_occupancy
B1 B 0.0000 0.0000 0.0000 1
Rh1 Rh 0.0000 0.0000 0.5000 1
F1 F 0.0000 0.0000 0.4094 1
```

Computed properties:
Final energy   -4.346 eV per atom
E above lowest polymorph   0.6426 eV/atom
Formation energy without anion corrections   0.10 eV/atom
Total magnetization   0.00 μB per formula unit
DOS at the Fermi energy   8.1 states/eV/cell